Density functional theory data (PBE) for a relaxed structure of Ce12Pu2Tl5.

Cell: 7.175 9.367 9.367 Å, 67.99 70.43 70.43°
Sites, in units of the cell vectors:
Ce  0.659  0.324  0.912
Ce  0.784  0.550  0.550
Tl  0.500  0.000  0.000
Tl  0.334  0.709  0.709
Ce  0.341  0.088  0.676
Ce  0.877  0.593  0.154
Pu  0.000  0.722  0.278
Tl  0.666  0.291  0.291
Ce  0.216  0.450  0.450
Ce  0.123  0.407  0.846
Ce  0.034  0.078  0.078
Ce  0.341  0.676  0.088
Ce  0.877  0.154  0.593
Pu  0.000  0.278  0.722
Tl  0.243  0.236  0.236
Ce  0.966  0.922  0.922
Tl  0.757  0.764  0.764
Ce  0.123  0.846  0.407
Ce  0.659  0.912  0.324

Properties
magnetization = 0.00 μB per atom
crystal system = monoclinic
D(E_F) = 31.64 states/eV/cell
calculated formation energy = -97.9 meV/atom
raw total energy = -113.562 eV/cell